(1)
Entry from the Alexandria database: TiAlW3 after structural relaxation (PBE-GGA).

Cell lengths 4.577, 4.577, 4.577 Å; angles 90.00, 90.00, 90.00 degrees
Fractional coordinates of all 5 atoms:
Ti 0.000 0.000 0.000
Al 0.500 0.500 0.500
W 0.000 0.000 0.500
W 0.000 0.500 0.000
W 0.500 0.000 0.000

Formation enthalpy at 0 K (eV per atom): 1.798
SG: Pm-3m, No. 221
Total magnetization (μB/atom): 0.000
E above lowest polymorph (eV per formula unit): 0.93

(2)
Entry from the Alexandria database: TiAl2W after structural relaxation (PBE-GGA).

Cell lengths 4.451, 4.451, 4.451 Å; angles 60.00, 60.00, 60.00 degrees
Fractional coordinates of all 4 atoms:
Ti 0.000 0.000 0.000
Al 0.250 0.250 0.250
Al 0.750 0.750 0.750
W 0.500 0.500 0.500

Formation enthalpy at 0 K (eV per atom): -0.016
SG: Fm-3m, No. 225
Total magnetization (μB/atom): 0.000
E above lowest polymorph (eV per formula unit): 0.82

(3)
Entry from the Alexandria database: TiAlW after structural relaxation (PBE-GGA).

Cell lengths 4.522, 4.522, 2.694 Å; angles 90.00, 90.00, 120.00 degrees
Fractional coordinates of all 3 atoms:
Ti 0.000 0.000 0.000
Al 0.667 0.333 0.371
W 0.333 0.667 0.708

Formation enthalpy at 0 K (eV per atom): -0.113
SG: P3m1, No. 156
Total magnetization (μB/atom): 0.000
E above lowest polymorph (eV per formula unit): 0.22

Question: Which value of formation enthalpy at 0 K does entry 1 give?
Answer: 1.798 eV per atom

Repeat the second record exactly.
Entry from the Alexandria database: TiAl2W after structural relaxation (PBE-GGA).

Cell lengths 4.451, 4.451, 4.451 Å; angles 60.00, 60.00, 60.00 degrees
Fractional coordinates of all 4 atoms:
Ti 0.000 0.000 0.000
Al 0.250 0.250 0.250
Al 0.750 0.750 0.750
W 0.500 0.500 0.500

Formation enthalpy at 0 K (eV per atom): -0.016
SG: Fm-3m, No. 225
Total magnetization (μB/atom): 0.000
E above lowest polymorph (eV per formula unit): 0.82

Question: total magnetization of number 1 (TiAlW3)?
Answer: 0.000 μB/atom